Density functional theory data (PBE-GGA) for a geometry-optimized BaTe3Cl structure.

Properties
**Uncorrected formation energy**: -0.38 eV/atom
**Distance to the lowest polymorph of the same formula**: 0.000 eV per atom
**Total moment**: 0.000 μB/atom
**Crystal system**: cubic

Lattice parameters (Å, degrees): 5.5632 5.5632 5.5632 90.00 90.00 90.00
Closest atoms and distances in Å follow each position.
Element x y z (fractional)
Ba  0.0000  0.0000  0.0000  12 Te 3.93
Te  0.0000  0.5000  0.5000  2 Cl 2.78
Te  0.5000  0.0000  0.5000  2 Cl 2.78
Te  0.5000  0.5000  0.0000  2 Cl 2.78
Cl  0.5000  0.5000  0.5000  6 Te 2.78

Density functional theory data (PBE-GGA) for a geometry-optimized BaTeCl2 structure.

Properties
**Uncorrected formation energy**: -1.36 eV/atom
**Distance to the lowest polymorph of the same formula**: 0.150 eV per atom
**Total moment**: 0.000 μB/atom
**Crystal system**: tetragonal

Lattice parameters (Å, degrees): 5.1882 5.1882 5.9421 90.00 90.00 90.00
Closest atoms and distances in Å follow each position.
Element x y z (fractional)
Ba  0.0000  0.0000  0.0000  2 Cl 2.94-3.00
Te  0.5000  0.5000  0.9130  1 Cl 2.42
Cl  0.0000  0.0000  0.5045  2 Ba 2.94-3.00
Cl  0.5000  0.5000  0.3202  1 Te 2.42

Density functional theory data (PBE-GGA) for a geometry-optimized BaTe2Cl structure.

Properties
**Uncorrected formation energy**: -1.23 eV/atom
**Distance to the lowest polymorph of the same formula**: 0.126 eV per atom
**Total moment**: 0.000 μB/atom
**Crystal system**: monoclinic

Lattice parameters (Å, degrees): 4.6640 6.6655 4.9077 90.00 95.75 90.00
Closest atoms and distances in Å follow each position.
Element x y z (fractional)
Ba  0.0000  0.0000  0.0000  4 Cl 3.21-3.55
Te  0.1625  0.5000  0.7712  2 Te 2.83-2.93
Te  0.8375  0.5000  0.2288  2 Te 2.83-2.93
Cl  0.5000  0.0000  0.5000  4 Ba 3.21-3.55

Density functional theory data (PBE-GGA) for a geometry-optimized BaTeCl2 structure.

Properties
**Uncorrected formation energy**: -1.51 eV/atom
**Distance to the lowest polymorph of the same formula**: 0.000 eV per atom
**Total moment**: 0.000 μB/atom
**Crystal system**: monoclinic

Lattice parameters (Å, degrees): 4.8988 5.5986 5.5011 90.00 114.02 90.00
Closest atoms and distances in Å follow each position.
Element x y z (fractional)
Ba  0.0000  0.0000  0.0000  5 Cl 3.08-3.29
Te  0.5982  0.5000  0.1696  1 Cl 2.46
Cl  0.3092  0.0000  0.6123  3 Ba 3.08-3.18
Cl  0.7911  0.5000  0.6583  1 Te 2.46

Density functional theory data (PBE-GGA) for a geometry-optimized BaTe2Cl structure.

Properties
**Uncorrected formation energy**: -1.35 eV/atom
**Distance to the lowest polymorph of the same formula**: 0.000 eV per atom
**Total moment**: 0.000 μB/atom
**Crystal system**: tetragonal

Lattice parameters (Å, degrees): 7.1412 7.1412 7.1412 143.51 143.51 52.55
Closest atoms and distances in Å follow each position.
Element x y z (fractional)
Ba  0.0000  0.0000  0.0000  4 Cl 3.16
Te  0.2500  0.7500  0.5000  4 Te 3.16
Te  0.7500  0.2500  0.5000  4 Te 3.16
Cl  0.5000  0.5000  0.0000  4 Ba 3.16

Density functional theory data (PBE-GGA) for a geometry-optimized BaTe2Cl structure.

Properties
**Uncorrected formation energy**: -0.69 eV/atom
**Distance to the lowest polymorph of the same formula**: 0.663 eV per atom
**Total moment**: 0.000 μB/atom
**Crystal system**: trigonal

Lattice parameters (Å, degrees): 8.5504 8.5504 8.5504 38.56 38.56 38.56
Closest atoms and distances in Å follow each position.
Element x y z (fractional)
Ba  0.0000  0.0000  0.0000  6 Te 3.51
Te  0.3879  0.3879  0.3879  1 Cl 2.66
Te  0.6121  0.6121  0.6121  1 Cl 2.66
Cl  0.5000  0.5000  0.5000  2 Te 2.66

Density functional theory data (PBE-GGA) for a geometry-optimized BaTeCl2 structure.

Properties
**Uncorrected formation energy**: -1.26 eV/atom
**Distance to the lowest polymorph of the same formula**: 0.251 eV per atom
**Total moment**: 0.000 μB/atom
**Crystal system**: tetragonal

Lattice parameters (Å, degrees): 5.0893 5.0893 4.5514 90.00 90.00 90.00
Closest atoms and distances in Å follow each position.
Element x y z (fractional)
Ba  0.0000  0.0000  0.0000  8 Cl 3.41, 4 Te 3.60
Te  0.5000  0.5000  0.0000  8 Cl 3.41, 4 Ba 3.60
Cl  0.0000  0.5000  0.5000  4 Te 3.41, 4 Ba 3.41, 4 Cl 3.60
Cl  0.5000  0.0000  0.5000  4 Te 3.41, 4 Ba 3.41, 4 Cl 3.60

Density functional theory data (PBE-GGA) for a geometry-optimized Ba3TeCl structure.

Properties
**Uncorrected formation energy**: -0.97 eV/atom
**Distance to the lowest polymorph of the same formula**: 0.000 eV per atom
**Total moment**: 0.000 μB/atom
**Crystal system**: cubic

Lattice parameters (Å, degrees): 5.9382 5.9382 5.9382 90.00 90.00 90.00
Closest atoms and distances in Å follow each position.
Element x y z (fractional)
Ba  0.0000  0.0000  0.5000  2 Cl 2.97
Ba  0.0000  0.5000  0.0000  2 Cl 2.97
Ba  0.5000  0.0000  0.0000  2 Cl 2.97
Te  0.5000  0.5000  0.5000  12 Ba 4.20
Cl  0.0000  0.0000  0.0000  6 Ba 2.97

Density functional theory data (PBE-GGA) for a geometry-optimized BaTeCl2 structure.

Properties
**Uncorrected formation energy**: -1.23 eV/atom
**Distance to the lowest polymorph of the same formula**: 0.280 eV per atom
**Total moment**: 0.502 μB/atom
**Crystal system**: cubic

Lattice parameters (Å, degrees): 5.5934 5.5934 5.5934 60.00 60.00 60.00
Closest atoms and distances in Å follow each position.
Element x y z (fractional)
Ba  0.0000  0.0000  0.0000  8 Cl 3.43
Te  0.5000  0.5000  0.5000  8 Cl 3.43
Cl  0.2500  0.2500  0.2500  4 Ba 3.43, 4 Te 3.43
Cl  0.7500  0.7500  0.7500  4 Ba 3.43, 4 Te 3.43

Density functional theory data (PBE-GGA) for a geometry-optimized BaTe2Cl structure.

Properties
**Uncorrected formation energy**: -1.35 eV/atom
**Distance to the lowest polymorph of the same formula**: 0.004 eV per atom
**Total moment**: 0.000 μB/atom
**Crystal system**: orthorhombic

Lattice parameters (Å, degrees): 4.4725 6.4348 4.4714 90.00 90.00 90.00
Closest atoms and distances in Å follow each position.
Element x y z (fractional)
Ba  0.0000  0.0000  0.0000  4 Cl 3.16
Te  0.0000  0.5000  0.4987  4 Te 3.16
Te  0.5000  0.5000  0.9987  4 Te 3.16
Cl  0.5000  0.0000  0.4998  4 Ba 3.16

Density functional theory data (PBE-GGA) for a geometry-optimized Ba4Te3Cl structure.

Properties
**Uncorrected formation energy**: -1.80 eV/atom
**Distance to the lowest polymorph of the same formula**: 0.000 eV per atom
**Total moment**: 0.000 μB/atom
**Crystal system**: tetragonal

Lattice parameters (Å, degrees): 8.4960 8.4960 8.4960 131.67 131.67 70.76
Closest atoms and distances in Å follow each position.
Element x y z (fractional)
Ba  0.0000  0.5000  0.5000  4 Te 3.46-3.48, 2 Cl 3.48
Ba  0.2492  0.2492  0.0000  1 Cl 3.45, 5 Te 3.47-3.48
Ba  0.5000  0.0000  0.5000  4 Te 3.46-3.48, 2 Cl 3.48
Ba  0.7508  0.7508  0.0000  1 Cl 3.45, 5 Te 3.47-3.48
Te  0.2500  0.7500  0.5000  6 Ba 3.46-3.48
Te  0.5000  0.5000  0.0000  6 Ba 3.47-3.48
Te  0.7500  0.2500  0.5000  6 Ba 3.46-3.48
Cl  0.0000  0.0000  0.0000  6 Ba 3.45-3.48

Density functional theory data (PBE-GGA) for a geometry-optimized Ba2TeCl2 structure.

Properties
**Uncorrected formation energy**: -2.24 eV/atom
**Total moment**: 0.000 μB/atom
**Crystal system**: trigonal

Lattice parameters (Å, degrees): 5.1055 5.1055 8.4611 90.00 90.00 120.00
Closest atoms and distances in Å follow each position.
Element x y z (fractional)
Ba  0.3333  0.6667  0.2599  4 Cl 3.16-3.27
Ba  0.6667  0.3333  0.7401  4 Cl 3.16-3.27
Te  0.0000  0.0000  0.5000  6 Ba 3.58
Cl  0.3333  0.6667  0.8740  4 Ba 3.16-3.27
Cl  0.6667  0.3333  0.1260  4 Ba 3.16-3.27

Density functional theory data (PBE-GGA) for a geometry-optimized BaTeCl2 structure.

Properties
**Uncorrected formation energy**: -1.35 eV/atom
**Distance to the lowest polymorph of the same formula**: 0.165 eV per atom
**Total moment**: 0.000 μB/atom
**Crystal system**: orthorhombic

Lattice parameters (Å, degrees): 4.2565 4.6337 6.1284 90.00 90.00 90.00
Closest atoms and distances in Å follow each position.
Element x y z (fractional)
Ba  0.0000  0.0000  0.0000  4 Cl 3.15
Te  0.5000  0.0000  0.5000  4 Cl 3.15
Cl  0.0000  0.5000  0.5000  4 Te 3.15
Cl  0.5000  0.5000  0.0000  4 Ba 3.15

Density functional theory data (PBE-GGA) for a geometry-optimized BaTe2Cl structure.

Properties
**Uncorrected formation energy**: -1.25 eV/atom
**Distance to the lowest polymorph of the same formula**: 0.106 eV per atom
**Total moment**: 0.000 μB/atom
**Crystal system**: monoclinic

Lattice parameters (Å, degrees): 5.5471 5.5471 7.1267 113.01 113.01 50.08
Closest atoms and distances in Å follow each position.
Element x y z (fractional)
Ba  0.0000  0.0000  0.0000  3 Cl 3.06-3.07
Te  0.3068  0.3068  0.5344  1 Te 2.77
Te  0.5465  0.5465  0.4384  1 Te 2.77
Cl  0.7044  0.7044  0.0272  3 Ba 3.06-3.07

Density functional theory data (PBE-GGA) for a geometry-optimized BaTeCl2 structure.

Properties
**Uncorrected formation energy**: -1.31 eV/atom
**Distance to the lowest polymorph of the same formula**: 0.198 eV per atom
**Total moment**: 0.000 μB/atom
**Crystal system**: tetragonal

Lattice parameters (Å, degrees): 10.6833 10.6833 10.6833 152.09 152.09 39.89
Closest atoms and distances in Å follow each position.
Element x y z (fractional)
Ba  0.0000  0.0000  0.0000  4 Cl 3.16
Ba  0.7500  0.2500  0.5000  4 Cl 3.16
Te  0.2500  0.7500  0.5000  4 Cl 3.05
Te  0.5000  0.5000  0.0000  4 Cl 3.05
Cl  0.1498  0.6250  0.0248  2 Te 3.05, 2 Ba 3.16
Cl  0.3750  0.3998  0.5248  2 Te 3.05, 2 Ba 3.16
Cl  0.6002  0.1250  0.9752  2 Te 3.05, 2 Ba 3.16
Cl  0.8750  0.8502  0.4752  2 Te 3.05, 2 Ba 3.16